Entry from the Alexandria database: a geometry-optimized TiGe3Br structure (PBE).

Space-group type: Pm-3m
Formation energy (no corrections) in eV/atom: 0.31
Uncorrected energy in eV for the cell shown: -21.9

a = 5.034 Å, b = 5.034 Å, c = 5.034 Å
α = 90.00°, β = 90.00°, γ = 90.00°
Atoms (fractional coordinates):
Ti: 0.000 0.000 0.000
Ge: 0.000 0.000 0.500
Ge: 0.000 0.500 0.000
Ge: 0.500 0.000 0.000
Br: 0.500 0.500 0.500